1.
# Y2AuSeO | the Alexandria database | GGA-PBEsol | optimized geometry
data_Y2AuSeO
_cell_length_a 4.627
_cell_length_b 4.627
_cell_length_c 4.534
_cell_angle_alpha 90.00
_cell_angle_beta 90.00
_cell_angle_gamma 90.00
_symmetry_space_group_name_H-M 'P 4/m m m'
_symmetry_Int_Tables_number 123
_symmetry_space_group_name_Hall '-P 4 2'
loop_
_atom_site_label
_atom_site_fract_x
_atom_site_fract_y
_atom_site_fract_z
Y1 0.000 0.500 0.000
Au1 0.000 0.000 0.500
Se1 0.500 0.500 0.500
O1 0.000 0.000 0.000
# * E_tot: -6.604 eV per atom
# * uncorrected formation energy: -1.2704 eV per atom
# * magnetic moment: 0.0 μB per cell

---

2.
# Sm4Au2O9 | the Alexandria database | GGA-PBEsol | optimized geometry
data_Sm4Au2O9
_cell_length_a 11.755
_cell_length_b 6.000
_cell_length_c 11.787
_cell_angle_alpha 90.00
_cell_angle_beta 90.00
_cell_angle_gamma 90.00
_symmetry_space_group_name_H-M 'P b c n'
_symmetry_Int_Tables_number 60
loop_
_symmetry_equiv_pos_as_xyz
'x,y,z'
'-x,-y,-z'
'-x+1/2,-y+1/2,z+1/2'
'x+1/2,y+1/2,-z+1/2'
'x+1/2,-y+1/2,-z'
'-x+1/2,y+1/2,z'
'-x,y,-z+1/2'
'x,-y,z+1/2'
loop_
_atom_site_label
_atom_site_fract_x
_atom_site_fract_y
_atom_site_fract_z
Sm1 0.012 0.242 0.090
Sm2 0.159 0.198 0.764
Au1 0.228 0.419 0.511
O1 0.000 0.024 0.250
O2 0.076 0.385 0.589
O3 0.115 0.061 0.946
O4 0.163 0.438 0.351
O5 0.197 0.126 0.159
# * E_tot: -7.471 eV per atom
# * uncorrected formation energy: -2.4403 eV per atom
# * magnetic moment: 0.0 μB per cell

---

3.
# SrAu3O | the Alexandria database | GGA-PBEsol | optimized geometry
data_SrAu3O
_cell_length_a 5.729
_cell_length_b 5.729
_cell_length_c 5.729
_cell_angle_alpha 90.00
_cell_angle_beta 90.00
_cell_angle_gamma 90.00
_symmetry_space_group_name_H-M 'P m -3 m'
_symmetry_Int_Tables_number 221
_symmetry_space_group_name_Hall '-P 4 2 3'
loop_
_atom_site_label
_atom_site_fract_x
_atom_site_fract_y
_atom_site_fract_z
Sr1 0.000 0.000 0.000
Au1 0.000 0.000 0.500
O1 0.500 0.500 0.500
# * E_tot: -2.306 eV per atom
# * uncorrected formation energy: 1.4665 eV per atom
# * magnetic moment: 2.7 μB per cell

---

uncorrected formation energy of number 3 (SrAu3O)? 1.4665 eV per atom

---

Which of these has the lowest E_tot? Sm4Au2O9